Record 1
ReSb2TeC: optimized geometry, GGA-PBE.

Calculated values
For the uncorrected formation energy, the calculation gives 1.492 eV/atom. As for the symmetry: P4/mmm (123). As for the volume: 19.30 Å³ per atom. The density of states at the Fermi level is 3.348 states/eV/cell. The total energy is -5.1194 eV/atom.

Cell lengths 4.6076, 4.6076, 4.5457 Å; angles 90.00, 90.00, 90.00 degrees
With the nearest neighbours (Å) after each atom.
Positions (direct):
Re1 0.0000 0.0000 0.0000  8 Sb 3.24, 4 Te 3.26
Sb1 0.0000 0.5000 0.5000  2 C 2.30
Sb2 0.5000 0.0000 0.5000  2 C 2.30
Te1 0.5000 0.5000 0.0000  2 C 2.27
C1 0.5000 0.5000 0.5000  2 Te 2.27, 4 Sb 2.30

---

Record 2
NaAc3B2O8: optimized geometry, GGA-PBE.

Calculated values
For the uncorrected formation energy, the calculation gives -2.916 eV/atom. As for the symmetry: P-3m1 (164). As for the volume: 12.63 Å³ per atom. The density of states at the Fermi level is 0.000 states/eV/cell. The total energy is -7.6775 eV/atom.

Cell lengths 5.4261, 5.4261, 6.9352 Å; angles 90.00, 90.00, 120.00 degrees
With the nearest neighbours (Å) after each atom.
Positions (direct):
Na1 0.0000 0.0000 0.0000  6 O 2.25
Ac1 0.0000 0.0000 0.5000  6 O 2.67
Ac2 0.3333 0.6667 0.1653  1 O 2.33
Ac3 0.6667 0.3333 0.8347  1 O 2.33
B1 0.3333 0.6667 0.7127  4 O 1.47-1.51
B2 0.6667 0.3333 0.2873  4 O 1.47-1.51
O1 0.1842 0.3684 0.7932  1 B 1.51
O2 0.1842 0.8158 0.7932  1 B 1.51
O3 0.3333 0.6667 0.5008  1 B 1.47
O4 0.3684 0.1842 0.2068  1 B 1.51
O5 0.6316 0.8158 0.7932  1 B 1.51
O6 0.6667 0.3333 0.4992  1 B 1.47
O7 0.8158 0.1842 0.2068  1 B 1.51
O8 0.8158 0.6316 0.2068  1 B 1.51

---

Record 3
Ba8RhAu3I3: optimized geometry, GGA-PBE.

Calculated values
For the uncorrected formation energy, the calculation gives -0.891 eV/atom. As for the symmetry: C2/m (12). As for the volume: 45.45 Å³ per atom. The density of states at the Fermi level is 10.064 states/eV/cell. The total energy is -3.3725 eV/atom.

Cell lengths 9.4170, 9.4170, 10.4214 Å; angles 116.96, 116.96, 59.96 degrees
With the nearest neighbours (Å) after each atom.
Positions (direct):
Ba1 0.2232 0.2232 0.6991  1 Rh 3.11, 2 Au 3.31
Ba2 0.2234 0.7530 0.6991  1 Rh 3.11, 2 Au 3.31
Ba3 0.2470 0.7766 0.3009  1 Rh 3.11, 2 Au 3.31
Ba4 0.2646 0.2646 0.2944  3 Au 3.27-3.28
Ba5 0.7354 0.7354 0.7056  3 Au 3.27-3.28
Ba6 0.7530 0.2234 0.6991  1 Rh 3.11, 2 Au 3.31
Ba7 0.7766 0.2470 0.3009  1 Rh 3.11, 2 Au 3.31
Ba8 0.7768 0.7768 0.3009  1 Rh 3.11, 2 Au 3.31
Rh1 0.0000 0.0000 0.5000  6 Ba 3.11
Au1 0.0000 0.5000 0.5000  6 Ba 3.27-3.31
Au2 0.5000 0.0000 0.5000  6 Ba 3.27-3.31
Au3 0.5000 0.5000 0.5000  6 Ba 3.28-3.31
I1 0.0000 0.0000 0.0000  6 Ba 3.76-3.77
I2 0.0000 0.5000 0.0000  6 Ba 3.75-3.77
I3 0.5000 0.0000 0.0000  6 Ba 3.75-3.77

---

Record 4
K3SmTh3Se8: optimized geometry, GGA-PBE.

Calculated values
For the uncorrected formation energy, the calculation gives -1.635 eV/atom. As for the symmetry: R-3m (166). As for the volume: 32.82 Å³ per atom. The density of states at the Fermi level is 9.596 states/eV/cell. The total energy is -5.5112 eV/atom.

Cell lengths 9.2812, 9.2812, 9.2812 Å; angles 54.47, 54.47, 54.47 degrees
With the nearest neighbours (Å) after each atom.
Positions (direct):
K1 0.0000 0.5000 0.5000  6 Se 3.32-3.36
K2 0.5000 0.0000 0.5000  6 Se 3.32-3.36
K3 0.5000 0.5000 0.0000  6 Se 3.32-3.36
Sm1 0.5000 0.5000 0.5000  6 Se 2.97
Th1 0.0000 0.0000 0.5000  6 Se 2.95-2.99
Th2 0.0000 0.5000 0.0000  6 Se 2.95-2.99
Th3 0.5000 0.0000 0.0000  6 Se 2.95-2.99
Se1 0.2346 0.7373 0.7373  2 Th 2.95, 1 Sm 2.97
Se2 0.2389 0.2389 0.2389  3 Th 2.99, 3 K 3.32
Se3 0.2627 0.2627 0.7654  2 Th 2.95, 1 Sm 2.97
Se4 0.2627 0.7654 0.2627  2 Th 2.95, 1 Sm 2.97
Se5 0.7373 0.2346 0.7373  2 Th 2.95, 1 Sm 2.97
Se6 0.7373 0.7373 0.2346  2 Th 2.95, 1 Sm 2.97
Se7 0.7611 0.7611 0.7611  3 Th 2.99, 3 K 3.32
Se8 0.7654 0.2627 0.2627  2 Th 2.95, 1 Sm 2.97

---

Record 5
SmZn2Ga: optimized geometry, GGA-PBE.

Calculated values
As for the symmetry: Cmcm (63). As for the volume: 19.77 Å³ per atom. The density of states at the Fermi level is 7.489 states/eV/cell. The value obtained for the formation enthalpy at 0 K is -452 meV/atom. The total energy is -3.0252 eV/atom.

Cell lengths 8.4549, 8.4549, 8.9886 Å; angles 90.00, 90.00, 150.52 degrees
With the nearest neighbours (Å) after each atom.
Positions (direct):
Sm1 0.0000 0.0000 0.0000  10 Zn 3.22-3.50, 4 Ga 3.22
Sm2 0.0000 0.0000 0.5000  10 Zn 3.22-3.50, 4 Ga 3.22
Sm3 0.2037 0.7963 0.7500  9 Zn 3.07-3.27, 4 Ga 3.10
Sm4 0.7963 0.2037 0.2500  9 Zn 3.07-3.27, 4 Ga 3.10
Zn1 0.1878 0.8122 0.1068  3 Ga 2.55-2.81, 1 Zn 2.57
Zn2 0.1878 0.8122 0.3932  3 Ga 2.55-2.81, 1 Zn 2.57
Zn3 0.4019 0.5981 0.7500  1 Zn 2.47, 2 Ga 2.60
Zn4 0.4471 0.5529 0.2500  1 Zn 2.47, 2 Ga 2.53
Zn5 0.5529 0.4471 0.7500  1 Zn 2.47, 2 Ga 2.53
Zn6 0.5981 0.4019 0.2500  1 Zn 2.47, 2 Ga 2.60
Zn7 0.8122 0.1878 0.6068  3 Ga 2.55-2.81, 1 Zn 2.57
Zn8 0.8122 0.1878 0.8932  3 Ga 2.55-2.81, 1 Zn 2.57
Ga1 0.3538 0.6462 0.0252  5 Zn 2.53-2.81
Ga2 0.3538 0.6462 0.4748  5 Zn 2.53-2.81
Ga3 0.6462 0.3538 0.5252  5 Zn 2.53-2.81
Ga4 0.6462 0.3538 0.9748  5 Zn 2.53-2.81

---

Record 6
TbMg2Cu9: optimized geometry, GGA-PBE.

Calculated values
As for the symmetry: P6_3/mmc (194). As for the volume: 14.75 Å³ per atom. The density of states at the Fermi level is 15.477 states/eV/cell. The value obtained for the formation enthalpy at 0 K is -176 meV/atom. The total energy is -3.9002 eV/atom.

Cell lengths 5.0586, 5.0586, 15.9727 Å; angles 90.00, 90.00, 120.00 degrees
With the nearest neighbours (Å) after each atom.
Positions (direct):
Tb1 0.3333 0.6667 0.2500  18 Cu 2.92-3.24
Tb2 0.6667 0.3333 0.7500  18 Cu 2.92-3.24
Mg1 0.3333 0.6667 0.0327  12 Cu 2.87-2.97, 3 Mg 3.10
Mg2 0.3333 0.6667 0.4673  12 Cu 2.87-2.97, 3 Mg 3.10
Mg3 0.6667 0.3333 0.5327  12 Cu 2.87-2.97, 3 Mg 3.10
Mg4 0.6667 0.3333 0.9673  12 Cu 2.87-2.97, 3 Mg 3.10
Cu1 0.0000 0.0000 0.0000  6 Cu 2.46
Cu2 0.0000 0.0000 0.2500  6 Cu 2.51
Cu3 0.0000 0.0000 0.5000  6 Cu 2.46
Cu4 0.0000 0.0000 0.7500  6 Cu 2.51
Cu5 0.1684 0.3369 0.6229  7 Cu 2.46-2.56
Cu6 0.1684 0.3369 0.8771  7 Cu 2.46-2.56
Cu7 0.1684 0.8316 0.6229  7 Cu 2.46-2.56
Cu8 0.1684 0.8316 0.8771  7 Cu 2.46-2.56
Cu9 0.3333 0.6667 0.7500  6 Cu 2.49
Cu10 0.3369 0.1684 0.1229  7 Cu 2.46-2.56
Cu11 0.3369 0.1684 0.3771  7 Cu 2.46-2.56
Cu12 0.6631 0.8316 0.6229  7 Cu 2.46-2.56
Cu13 0.6631 0.8316 0.8771  7 Cu 2.46-2.56
Cu14 0.6667 0.3333 0.2500  6 Cu 2.49
Cu15 0.8316 0.1684 0.1229  7 Cu 2.46-2.56
Cu16 0.8316 0.1684 0.3771  7 Cu 2.46-2.56
Cu17 0.8316 0.6631 0.1229  7 Cu 2.46-2.56
Cu18 0.8316 0.6631 0.3771  7 Cu 2.46-2.56

---

Record 7
PrHoEr2Sc: optimized geometry, GGA-PBE.

Calculated values
As for the symmetry: Pmmm (47). As for the volume: 32.09 Å³ per atom. The density of states at the Fermi level is 6.853 states/eV/cell. The value obtained for the formation enthalpy at 0 K is 218 meV/atom. The total energy is -4.7452 eV/atom.

Cell lengths 3.5609, 5.4171, 8.3174 Å; angles 90.00, 90.00, 90.00 degrees
With the nearest neighbours (Å) after each atom.
Positions (direct):
Pr1 0.0000 0.0000 0.0000  4 Sc 3.24, 2 Pr 3.56
Ho1 0.5000 0.0000 0.5000  2 Ho 3.56, 8 Er 3.59
Er1 0.0000 0.5000 0.3135  1 Er 3.10, 2 Sc 3.16
Er2 0.0000 0.5000 0.6865  1 Er 3.10, 2 Sc 3.16
Sc1 0.5000 0.5000 0.0000  4 Er 3.16, 4 Pr 3.24

---

Record 8
La2NdThBi5: optimized geometry, GGA-PBE.

Calculated values
As for the symmetry: P4/mmm (123). As for the volume: 44.49 Å³ per atom. The density of states at the Fermi level is 7.079 states/eV/cell. The value obtained for the formation enthalpy at 0 K is -112 meV/atom. The total energy is -4.7173 eV/atom.

Cell lengths 5.7493, 5.7493, 12.1141 Å; angles 90.00, 90.00, 90.00 degrees
With the nearest neighbours (Å) after each atom.
Positions (direct):
La1 0.0000 0.0000 0.2202  1 Bi 3.39
La2 0.0000 0.0000 0.7798  1 Bi 3.39
Nd1 0.5000 0.5000 0.5000  2 Bi 2.98
Th1 0.5000 0.5000 0.0000  6 Bi 2.87-3.08
Bi1 0.0000 0.0000 0.5000  2 La 3.39
Bi2 0.0000 0.5000 0.0000  2 Th 2.87
Bi3 0.5000 0.0000 0.0000  2 Th 2.87
Bi4 0.5000 0.5000 0.2542  1 Nd 2.98, 1 Th 3.08
Bi5 0.5000 0.5000 0.7458  1 Nd 2.98, 1 Th 3.08

---

Record 9
K6AgAu3: optimized geometry, GGA-PBE.

Calculated values
As for the symmetry: P2_1/c (14). As for the volume: 34.32 Å³ per atom. The density of states at the Fermi level is 5.409 states/eV/cell. The value obtained for the formation enthalpy at 0 K is -130 meV/atom. The total energy is -2.0566 eV/atom.

Cell lengths 9.8480, 6.6428, 14.3169 Å; angles 90.00, 132.87, 90.00 degrees
With the nearest neighbours (Å) after each atom.
Positions (direct):
K1 0.0792 0.2478 0.2466  3 Au 3.34-3.47, 1 Ag 3.55, 2 K 3.70
K2 0.0792 0.2522 0.7466  3 Au 3.34-3.47, 1 Ag 3.55, 2 K 3.70
K3 0.2414 0.0682 0.5776  3 Au 3.39-3.72, 1 Ag 3.43, 4 K 3.63-3.74
K4 0.2414 0.4318 0.0776  3 Au 3.39-3.72, 1 Ag 3.43, 4 K 3.63-3.74
K5 0.4053 0.5614 0.5762  3 Au 3.37-3.65, 1 Ag 3.45, 3 K 3.63-3.74
K6 0.4053 0.9386 0.0762  3 Au 3.37-3.65, 1 Ag 3.45, 3 K 3.63-3.74
K7 0.5947 0.0614 0.9238  3 Au 3.37-3.65, 1 Ag 3.45, 3 K 3.63-3.74
K8 0.5947 0.4386 0.4238  3 Au 3.37-3.65, 1 Ag 3.45, 3 K 3.63-3.74
K9 0.7586 0.5682 0.9224  3 Au 3.39-3.72, 1 Ag 3.43, 4 K 3.63-3.74
K10 0.7586 0.9318 0.4224  3 Au 3.39-3.72, 1 Ag 3.43, 4 K 3.63-3.74
K11 0.9208 0.7478 0.2534  3 Au 3.34-3.47, 1 Ag 3.55, 2 K 3.70
K12 0.9208 0.7522 0.7534  3 Au 3.34-3.47, 1 Ag 3.55, 2 K 3.70
Ag1 0.5000 0.0000 0.5000  2 Au 2.87
Ag2 0.5000 0.5000 0.0000  2 Au 2.87
Au1 0.0000 0.0000 0.0000  2 Au 2.88
Au2 0.0000 0.5000 0.5000  2 Au 2.88
Au3 0.2658 0.6758 0.7504  1 Ag 2.87, 1 Au 2.88
Au4 0.2658 0.8242 0.2504  1 Ag 2.87, 1 Au 2.88
Au5 0.7342 0.1758 0.7496  1 Ag 2.87, 1 Au 2.88
Au6 0.7342 0.3242 0.2496  1 Ag 2.87, 1 Au 2.88

---

Record 10
Ac2NdScSe6: optimized geometry, GGA-PBE.

Calculated values
For the uncorrected formation energy, the calculation gives -1.914 eV/atom. As for the symmetry: P2_1/c (14). As for the volume: 29.57 Å³ per atom. The density of states at the Fermi level is 0.000 states/eV/cell. The total energy is -5.9365 eV/atom.

Cell lengths 7.1423, 7.8654, 12.6137 Å; angles 90.00, 123.42, 90.00 degrees
With the nearest neighbours (Å) after each atom.
Positions (direct):
Ac1 0.2102 0.0972 0.2470  6 Se 3.11-3.30
Ac2 0.2102 0.4028 0.7470  6 Se 3.11-3.30
Ac3 0.7898 0.5972 0.2530  6 Se 3.11-3.30
Ac4 0.7898 0.9028 0.7530  6 Se 3.11-3.30
Nd1 0.5000 0.0000 0.0000  6 Se 2.90-2.94
Nd2 0.5000 0.5000 0.5000  6 Se 2.90-2.94
Sc1 0.0000 0.0000 0.5000  6 Se 2.70-2.75
Sc2 0.0000 0.5000 0.0000  6 Se 2.70-2.75
Se1 0.1041 0.1960 0.9362  1 Sc 2.75, 1 Nd 2.92
Se2 0.1041 0.3040 0.4362  1 Sc 2.75, 1 Nd 2.92
Se3 0.2489 0.6790 0.9377  1 Sc 2.70, 1 Nd 2.94
Se4 0.2489 0.8210 0.4377  1 Sc 2.70, 1 Nd 2.94
Se5 0.3663 0.0371 0.7381  1 Sc 2.70, 1 Nd 2.90
Se6 0.3663 0.4629 0.2381  1 Sc 2.70, 1 Nd 2.90
Se7 0.6337 0.5371 0.7619  1 Sc 2.70, 1 Nd 2.90
Se8 0.6337 0.9629 0.2619  1 Sc 2.70, 1 Nd 2.90
Se9 0.7511 0.1790 0.5623  1 Sc 2.70, 1 Nd 2.94
Se10 0.7511 0.3210 0.0623  1 Sc 2.70, 1 Nd 2.94
Se11 0.8959 0.6960 0.5638  1 Sc 2.75, 1 Nd 2.92
Se12 0.8959 0.8040 0.0638  1 Sc 2.75, 1 Nd 2.92

---

Record 11
EuScCdAu: optimized geometry, GGA-PBE.

Calculated values
As for the symmetry: F-43m (216). As for the volume: 24.25 Å³ per atom. The density of states at the Fermi level is 5.406 states/eV/cell. The value obtained for the formation enthalpy at 0 K is -434 meV/atom. The total energy is -5.6334 eV/atom.

Cell lengths 5.1574, 5.1574, 5.1574 Å; angles 60.00, 60.00, 60.00 degrees
With the nearest neighbours (Å) after each atom.
Positions (direct):
Eu1 0.0000 0.0000 0.0000  4 Cd 3.16, 4 Au 3.16
Sc1 0.5000 0.5000 0.5000  4 Cd 3.16, 4 Au 3.16
Cd1 0.7500 0.7500 0.7500  4 Sc 3.16, 4 Eu 3.16
Au1 0.2500 0.2500 0.2500  4 Sc 3.16, 4 Eu 3.16

---

Record 12
Li5La2Au12: optimized geometry, GGA-PBE.

Calculated values
As for the symmetry: R-3m (166). As for the volume: 19.00 Å³ per atom. The density of states at the Fermi level is 5.642 states/eV/cell. The value obtained for the formation enthalpy at 0 K is -540 meV/atom. The total energy is -3.6320 eV/atom.

Cell lengths 7.1973, 7.1973, 7.1973 Å; angles 81.26, 81.26, 81.26 degrees
With the nearest neighbours (Å) after each atom.
Positions (direct):
Li1 0.0000 0.0000 0.5000  8 Au 2.63-2.78, 2 Li 2.92
Li2 0.0000 0.5000 0.0000  8 Au 2.63-2.78, 2 Li 2.92
Li3 0.0901 0.0901 0.0901  1 Li 2.57, 3 Au 2.83
Li4 0.5000 0.0000 0.0000  8 Au 2.63-2.78, 2 Li 2.92
Li5 0.9099 0.9099 0.9099  1 Li 2.57, 3 Au 2.83
La1 0.3519 0.3519 0.3519  15 Au 3.28-3.68
La2 0.6481 0.6481 0.6481  15 Au 3.28-3.68
Au1 0.0000 0.3033 0.6967  2 Li 2.78, 6 Au 2.84-2.92
Au2 0.0000 0.6967 0.3033  2 Li 2.78, 6 Au 2.84-2.92
Au3 0.1328 0.6653 0.6653  3 Li 2.63-2.83, 6 Au 2.88-2.92
Au4 0.3033 0.0000 0.6967  2 Li 2.78, 6 Au 2.84-2.92
Au5 0.3033 0.6967 0.0000  2 Li 2.78, 6 Au 2.84-2.92
Au6 0.3347 0.3347 0.8672  3 Li 2.63-2.83, 6 Au 2.88-2.92
Au7 0.3347 0.8672 0.3347  3 Li 2.63-2.83, 6 Au 2.88-2.92
Au8 0.6653 0.1328 0.6653  3 Li 2.63-2.83, 6 Au 2.88-2.92
Au9 0.6653 0.6653 0.1328  3 Li 2.63-2.83, 6 Au 2.88-2.92
Au10 0.6967 0.0000 0.3033  2 Li 2.78, 6 Au 2.84-2.92
Au11 0.6967 0.3033 0.0000  2 Li 2.78, 6 Au 2.84-2.92
Au12 0.8672 0.3347 0.3347  3 Li 2.63-2.83, 6 Au 2.88-2.92